The following is a PBE calculation of a geometry-optimized PaAlOs structure, from Alexandria via LeMat-Bulk.

```
PaAlOs
1.0
-1.790 -2.370 0.949
2.551 -1.707 0.546
-0.189 4.038 4.606
Os Al Pa
1 1 1
Direct
0.964 0.964 0.928
0.588 0.588 0.176
0.298 0.298 0.595
```

Calculated values
E_tot: -8.5278 eV per atom
DOS(E_F): 1.9 states/eV/f.u.

---

The following is a PBE calculation of a geometry-optimized PaAl3Os structure, from Alexandria via LeMat-Bulk.

```
PaAl3Os
1.0
4.045 0.000 0.000
0.000 8.367 0.000
0.000 0.000 11.062
Al Os Pa
12 4 4
Direct
0.750 0.587 0.282
0.750 0.158 0.784
0.250 0.342 0.284
0.250 0.913 0.782
0.250 0.549 0.087
0.750 0.951 0.587
0.250 0.049 0.413
0.750 0.451 0.913
0.750 0.658 0.716
0.250 0.842 0.216
0.750 0.087 0.218
0.250 0.413 0.718
0.250 0.138 0.635
0.250 0.638 0.865
0.750 0.862 0.365
0.750 0.362 0.135
0.250 0.689 0.502
0.250 0.189 0.998
0.750 0.811 0.002
0.750 0.311 0.498
```

Calculated values
E_tot: -6.7860 eV per atom
DOS(E_F): 4.6 states/eV/f.u.